Ba3AlTc | SCAN | PBEsol geometry

Cell and atoms, written as POSCAR:
```
Ba3AlTc
1.0
-2.828 4.938 0.438
-1.664 -0.471 -5.438
-4.669 -2.822 1.673
Al Tc Ba
1 1 3
Direct
0.500 0.500 0.500
0.000 0.000 0.000
0.000 0.000 0.500
0.500 0.000 0.000
0.000 0.500 0.000
```

Calculated values
Formation enthalpy at 0 K, eV per atom: 0.618
Total magnetic moment, μB per formula unit: 0.0